No. 1
A plane-wave DFT calculation with PBE was carried out for an optimized crystal structure of TmNbN2O.

a = 5.6726 Å, b = 3.8348 Å, c = 6.0296 Å
α = 90.00°, β = 90.00°, γ = 90.00°
Fractional positions:
Nb 0.2500 0.0000 0.7159
Nb 0.7500 0.0000 0.2841
Tm 0.2500 0.5000 0.1702
Tm 0.7500 0.5000 0.8298
N 0.2500 0.5000 0.8113
N 0.7500 0.5000 0.1887
N 0.0000 0.0000 0.5000
N 0.5000 0.0000 0.5000
O 0.0000 0.0000 0.0000
O 0.5000 0.0000 0.0000

Output
- total magnetic moment (μB/f.u.) = 0.00



No. 2
A plane-wave DFT calculation with PBE was carried out for an optimized crystal structure of InHg3Te4Ir.

a = 6.8528 Å, b = 6.8528 Å, c = 6.8528 Å
α = 90.00°, β = 90.00°, γ = 90.00°
Fractional positions:
Te 0.7283 0.7283 0.2717
Te 0.2717 0.2717 0.2717
Te 0.2717 0.7283 0.7283
Te 0.7283 0.2717 0.7283
Hg 0.0000 0.5000 0.5000
Hg 0.5000 0.0000 0.5000
Hg 0.5000 0.5000 0.0000
In 0.0000 0.0000 0.0000
Ir 0.5000 0.5000 0.5000

Output
- total magnetic moment (μB/f.u.) = 0.35



No. 3
A plane-wave DFT calculation with PBE was carried out for an optimized crystal structure of KRbPtN2.

a = 5.3524 Å, b = 5.3524 Å, c = 4.9983 Å
α = 90.00°, β = 90.00°, γ = 120.00°
Fractional positions:
K 0.3333 0.6667 0.7241
Pt 0.0000 0.0000 0.9937
N 0.0000 0.0000 0.3717
N 0.0000 0.0000 0.6166
Rb 0.6667 0.3333 0.2939

Output
- total magnetic moment (μB/f.u.) = 0.01



No. 4
A plane-wave DFT calculation with PBE was carried out for an optimized crystal structure of KMgIrW.

a = 4.6583 Å, b = 4.6583 Å, c = 4.6583 Å
α = 60.00°, β = 60.00°, γ = 60.00°
Fractional positions:
Ir 0.0000 0.0000 0.0000
W 0.2500 0.2500 0.2500
K 0.5000 0.5000 0.5000
Mg 0.7500 0.7500 0.7500

Output
- total magnetic moment (μB/f.u.) = 0.00
- distance to the lowest polymorph of the same formula (eV per atom) = 0.0000



No. 5
A plane-wave DFT calculation with PBE was carried out for an optimized crystal structure of SrPaPO.

a = 5.4596 Å, b = 5.4596 Å, c = 5.4879 Å
α = 90.00°, β = 90.00°, γ = 90.00°
Fractional positions:
Sr 0.5000 0.0000 0.9984
Sr 0.0000 0.5000 0.0016
Pa 0.0000 0.0000 0.5000
Pa 0.5000 0.5000 0.5000
O 0.0000 0.0000 0.0000
O 0.5000 0.5000 0.0000
P 0.0000 0.5000 0.5019
P 0.5000 0.0000 0.4981

Output
- total magnetic moment (μB/f.u.) = 0.15
- distance to the lowest polymorph of the same formula (eV per atom) = 0.1213



No. 6
A plane-wave DFT calculation with PBE was carried out for an optimized crystal structure of HoInMo.

a = 4.7960 Å, b = 4.7960 Å, c = 4.7960 Å
α = 60.00°, β = 60.00°, γ = 60.00°
Fractional positions:
Ho 0.2500 0.2500 0.2500
In 0.7500 0.7500 0.7500
Mo 0.0000 0.0000 0.0000

Output
- total magnetic moment (μB/f.u.) = 1.98
- distance to the lowest polymorph of the same formula (eV per atom) = 0.0000



No. 7
A plane-wave DFT calculation with PBE was carried out for an optimized crystal structure of RbCu4As3.

a = 4.0553 Å, b = 4.0553 Å, c = 9.5092 Å
α = 90.00°, β = 90.00°, γ = 90.00°
Fractional positions:
As 0.0000 0.0000 0.0000
As 0.5000 0.5000 0.2881
As 0.5000 0.5000 0.7119
Cu 0.0000 0.5000 0.1534
Cu 0.0000 0.5000 0.8466
Cu 0.5000 0.0000 0.8466
Cu 0.5000 0.0000 0.1534
Rb 0.0000 0.0000 0.5000



No. 8
A plane-wave DFT calculation with PBE was carried out for an optimized crystal structure of NdGaHg.

a = 5.0088 Å, b = 5.0088 Å, c = 5.0088 Å
α = 60.00°, β = 60.00°, γ = 60.00°
Fractional positions:
Nd 0.0000 0.0000 0.0000
Hg 0.7500 0.7500 0.7500
Ga 0.2500 0.2500 0.2500

Output
- total magnetic moment (μB/f.u.) = 0.00



No. 9
A plane-wave DFT calculation with PBE was carried out for an optimized crystal structure of Lu4CdGeC2.

a = 3.5027 Å, b = 3.5027 Å, c = 15.1834 Å
α = 90.00°, β = 90.00°, γ = 120.00°
Fractional positions:
C 0.6667 0.3333 0.7610
C 0.6667 0.3333 0.2390
Lu 0.3333 0.6667 0.6779
Lu 0.0000 0.0000 0.1502
Lu 0.3333 0.6667 0.3221
Lu 0.0000 0.0000 0.8498
Cd 0.0000 0.0000 0.5000
Ge 0.3333 0.6667 0.0000

Output
- total magnetic moment (μB/f.u.) = 0.91



No. 10
A plane-wave DFT calculation with PBE was carried out for an optimized crystal structure of NdGdSi.

a = 4.9625 Å, b = 4.9625 Å, c = 4.9625 Å
α = 60.00°, β = 60.00°, γ = 60.00°
Fractional positions:
Nd 0.7500 0.7500 0.7500
Gd 0.2500 0.2500 0.2500
Si 0.0000 0.0000 0.0000

Output
- total magnetic moment (μB/f.u.) = 0.02
- distance to the lowest polymorph of the same formula (eV per atom) = 0.0000



No. 11
A plane-wave DFT calculation with PBE was carried out for an optimized crystal structure of TlHgPd.

a = 5.6096 Å, b = 5.6096 Å, c = 5.7040 Å
α = 120.53°, β = 120.53°, γ = 75.31°
Fractional positions:
Tl 0.6299 0.3010 0.6302
Tl 0.3010 0.6299 0.1302
Pd 0.1247 0.1252 0.0404
Pd 0.1252 0.1247 0.5404
Hg 0.9640 0.6265 0.4617
Hg 0.6265 0.9640 0.9617

Output
- distance to the lowest polymorph of the same formula (eV per atom) = 0.0000



No. 12
A plane-wave DFT calculation with PBE was carried out for an optimized crystal structure of KNiIrSe3.

a = 7.6028 Å, b = 7.6028 Å, c = 9.7767 Å
α = 90.00°, β = 90.00°, γ = 151.20°
Fractional positions:
Se 0.6105 0.3895 0.0469
Se 0.0674 0.9326 0.7500
Se 0.6105 0.3895 0.4531
Se 0.3895 0.6105 0.9531
Se 0.3895 0.6105 0.5469
Se 0.9326 0.0674 0.2500
K 0.7558 0.2442 0.7500
K 0.2442 0.7558 0.2500
Ni 0.4713 0.5287 0.7500
Ni 0.5287 0.4713 0.2500
Ir 0.0000 0.0000 0.0000
Ir 0.0000 0.0000 0.5000

Output
- total magnetic moment (μB/f.u.) = 0.79



What did we get for total energy? Answer: -8.77, -2.57, -4.99, -5.22, -6.55, -5.42, -3.81, -2.80, -5.72, -5.40, -2.75, -4.76 eV per atom, in the order shown.